Crystalline PrTmHf at its relaxed geometry. Source: OQMD, functional PBE.

POSCAR file:
```
PrTmHf
1.0
0.000 3.695 3.695
3.695 0.000 3.695
3.695 3.695 0.000
Pr Hf Tm
1 1 1
Cartesian
1.847 1.847 1.847
0.000 0.000 0.000
5.542 5.542 5.542
```

Raw total energy   -16.6 eV/cell
Energy of formation   19.78 kcal/mol of atoms
Relative energy among the computed polymorphs   0.000 eV per atom